LaSbCl: optimized geometry, GGA-PBE.

The space group is P-6m2 (No. 187) and the conventional cell measures 4.9985, 4.9985 and 3.9983 Å, with angles of 90.00, 90.00 and 120.00 degrees. The distinct sites, in fractional coordinates, are La at (0.0000, 0.0000, 0.0000), Sb at (0.3333, 0.6667, 0.5000) and Cl at (0.6667, 0.3333, 0.0000).

The value obtained for the uncorrected formation energy is -1231 meV/atom. The calculation puts the density of states at the Fermi level at 2.89 states/eV per cell. The value obtained for the total energy is -14.6 eV/cell. For the energy above the lowest structure with this stoichiometry, the calculation gives 0.229 eV/atom.